A geometry-optimized MoIBrO2 structure. Source: Alexandria, functional GGA+U.

Cell lengths 4.0697, 4.0697, 7.1793 Å; angles 90.00, 90.00, 90.00 degrees
Last column: nearest neighbours and their distance in Å.
Space group P4/mmm (No. 123)
One atom of each set of equivalent atoms:
Mo (0.0000, 0.0000, 0.0000) (multiplicity 1)  4 I 2.88
I (0.5000, 0.5000, 0.0000) (multiplicity 1)  4 Mo 2.88
Br (0.5000, 0.5000, 0.5000) (multiplicity 1)  4 O 2.03
O (0.0000, 0.5000, 0.5000) (multiplicity 2)  2 Br 2.03

Results
As for the energy above the most stable polymorph in this dataset: 5.946 eV per formula unit. For the total magnetic moment, the calculation gives 4.371 μB per formula unit.